Record 1
Here is a geometry-optimized La10DyHo4 structure from the Alexandria database. Energies are from PBE.

abc: 12.4666 12.4666 7.9426
angles: 90.00 90.00 90.00
Space group I4/m (No. 87)
Symmetry-distinct sites (fractional):
La (0.0000, 0.5000, 0.2500) [4 per cell]
La (0.0998, 0.7998, 0.2502) [16 per cell]
Dy (0.0000, 0.0000, 0.0000) [2 per cell]
Ho (0.1002, 0.3001, 0.5000) [8 per cell]

Results
- formation enthalpy at 0 K (meV/atom) = 634
- total DFT energy (no corrections) (eV for the cell shown) = -125.4
- total magnetization (μB per cell) = 0.000
- mass density (g/cm³) = 5.9

***

Record 2
Here is a geometry-optimized La4PmTh2 structure from the Alexandria database. Energies are from PBE.

abc: 3.6781 3.6781 63.0025
angles: 90.00 90.00 120.00
Space group R-3m (No. 166, hexagonal axes)
Symmetry-distinct sites (fractional):
La (0.0000, 0.0000, 0.0972) [6 per cell]
La (0.0000, 0.0000, 0.3809) [6 per cell]
Pm (0.0000, 0.0000, 0.0000) [3 per cell]
Th (0.0000, 0.0000, 0.1893) [6 per cell]

Results
- formation enthalpy at 0 K (meV/atom) = 38
- total DFT energy (no corrections) (eV for the cell shown) = -117.1
- total magnetization (μB per cell) = 0.000
- mass density (g/cm³) = 7.9